Run A
Computed, not measured: a relaxed Ta2CoAg crystal at the GGA-PBE level of DFT.

abc: 2.820 3.992 5.694
angles: 90.00 96.04 90.00
Fractional coordinates of all 4 atoms:
Ta (0.048, 0.000, 0.272)
Ta (0.952, 0.000, 0.728)
Co (0.500, 0.500, 0.500)
Ag (0.500, 0.500, 0.000)

Symmetry: P2/m (10)
N(E_F), states/eV per cell: 2.9
Spin magnetization, μB/f.u.: 0.0
Crystal system: monoclinic

Run B
Computed, not measured: a relaxed Ta2CoAg crystal at the GGA-PBE level of DFT.

abc: 9.409 9.409 9.409
angles: 17.44 17.44 17.44
Fractional coordinates of all 4 atoms:
Ta (0.242, 0.242, 0.242)
Ta (0.758, 0.758, 0.758)
Co (0.500, 0.500, 0.500)
Ag (0.000, 0.000, 0.000)

Symmetry: R-3m (166)
N(E_F), states/eV per cell: 4.9
Spin magnetization, μB/f.u.: 0.3
Crystal system: trigonal

Run C
Computed, not measured: a relaxed Ta2CoAg crystal at the GGA-PBE level of DFT.

abc: 2.790 2.790 8.198
angles: 90.00 90.00 90.00
Fractional coordinates of all 4 atoms:
Ta (0.000, 0.000, 0.216)
Ta (0.000, 0.000, 0.784)
Co (0.500, 0.500, 0.000)
Ag (0.500, 0.500, 0.500)

Symmetry: P4/mmm (123)
N(E_F), states/eV per cell: 4.2
Spin magnetization, μB/f.u.: 0.2
Crystal system: tetragonal

The winner here is run C, beating the second structure by 80 meV per atom.